# 1
# Mg3As2, optimized geometry, DFT PBE
# Formation energy from the elements   -3.07 eV per formula unit
data_Mg3As2
_chemical_formula_sum 'Mg3 As2'
_cell_length_a 4.2995
_cell_length_b 4.2995
_cell_length_c 6.7686
_cell_angle_alpha 90.00
_cell_angle_beta 90.00
_cell_angle_gamma 120.00
_symmetry_space_group_name_H-M 'P -3 m 1'
_symmetry_Int_Tables_number 164
_symmetry_space_group_name_Hall '-P 3 2"'
loop_
_atom_site_label
_atom_site_fract_x
_atom_site_fract_y
_atom_site_fract_z
_atom_site_occupancy
Mg1 0.0000 0.0000 0.0000 1
Mg2 0.3333 0.6667 0.3586 1
As1 0.3333 0.6667 0.7695 1

# 2
# Mg3As4, optimized geometry, DFT PBE
# Formation energy from the elements   -0.99 eV per formula unit
# Fermi-level density of states   7.0 states/eV/cell
data_Mg3As4
_chemical_formula_sum 'Mg6 As8'
_cell_length_a 3.776
_cell_length_b 3.776
_cell_length_c 20.409
_cell_angle_alpha 90.00
_cell_angle_beta 90.00
_cell_angle_gamma 90.00
_symmetry_space_group_name_H-M 'I 4/m m m'
_symmetry_Int_Tables_number 139
_symmetry_space_group_name_Hall '-I 4 2'
loop_
_atom_site_label
_atom_site_fract_x
_atom_site_fract_y
_atom_site_fract_z
_atom_site_occupancy
Mg1 0.000 0.000 0.000 1
Mg2 0.000 0.000 0.299 1
As1 0.000 0.000 0.162 1
As2 0.000 0.000 0.441 1

# 3
# MgAs2, optimized geometry, DFT PBE
# Formation energy from the elements   0.04 eV per formula unit
# Fermi-level density of states   1.1 states/eV/cell
data_MgAs2
_chemical_formula_sum 'Mg1 As2'
_cell_length_a 4.8621
_cell_length_b 4.8621
_cell_length_c 2.9353
_cell_angle_alpha 90.00
_cell_angle_beta 90.00
_cell_angle_gamma 120.00
_symmetry_space_group_name_H-M 'P 6/m m m'
_symmetry_Int_Tables_number 191
_symmetry_space_group_name_Hall '-P 6 2'
loop_
_atom_site_label
_atom_site_fract_x
_atom_site_fract_y
_atom_site_fract_z
_atom_site_occupancy
Mg1 0.0000 0.0000 0.0000 1
As1 0.3333 0.6667 0.5000 1

# 4
# MgAs2, optimized geometry, DFT PBE
# Formation energy from the elements   -0.46 eV per formula unit
# Fermi-level density of states   4.7 states/eV/cell
data_MgAs2
_chemical_formula_sum 'Mg4 As8'
_cell_length_a 14.783
_cell_length_b 2.902
_cell_length_c 6.475
_cell_angle_alpha 90.00
_cell_angle_beta 109.32
_cell_angle_gamma 90.00
_symmetry_space_group_name_H-M 'C 1 2/m 1'
_symmetry_Int_Tables_number 12
_symmetry_space_group_name_Hall '-C 2y'
loop_
_atom_site_label
_atom_site_fract_x
_atom_site_fract_y
_atom_site_fract_z
_atom_site_occupancy
Mg1 0.109 0.000 0.262 1
As1 0.072 0.500 0.863 1
As2 0.186 0.500 0.648 1

# 5
# MgAs3, optimized geometry, DFT PBE
# Formation energy from the elements   -0.67 eV per formula unit
# Fermi-level density of states   0.8 states/eV/cell
data_MgAs3
_chemical_formula_sum 'Mg1 As3'
_cell_length_a 3.568
_cell_length_b 5.460
_cell_length_c 4.458
_cell_angle_alpha 90.00
_cell_angle_beta 90.00
_cell_angle_gamma 90.00
_symmetry_space_group_name_H-M 'P m m 2'
_symmetry_Int_Tables_number 25
_symmetry_space_group_name_Hall 'P 2 -2'
loop_
_atom_site_label
_atom_site_fract_x
_atom_site_fract_y
_atom_site_fract_z
_atom_site_occupancy
Mg1 0.000 0.000 0.000 1
As1 0.000 0.500 0.043 1
As2 0.500 0.000 0.508 1
As3 0.500 0.500 0.425 1

# 6
# MgAs2, optimized geometry, DFT PBE
# Formation energy from the elements   -0.21 eV per formula unit
# Fermi-level density of states   6.2 states/eV/cell
data_MgAs2
_chemical_formula_sum 'Mg4 As8'
_cell_length_a 6.352
_cell_length_b 6.352
_cell_length_c 6.059
_cell_angle_alpha 90.00
_cell_angle_beta 90.00
_cell_angle_gamma 90.00
_symmetry_space_group_name_H-M 'I 4/m c m'
_symmetry_Int_Tables_number 140
_symmetry_space_group_name_Hall '-I 4 2c'
loop_
_atom_site_label
_atom_site_fract_x
_atom_site_fract_y
_atom_site_fract_z
_atom_site_occupancy
Mg1 0.000 0.000 0.250 1
As1 0.134 0.366 0.000 1

# 7
# Mg7As, optimized geometry, DFT PBE
# Formation energy from the elements   -0.71 eV per formula unit
# Fermi-level density of states   12.2 states/eV/cell
data_Mg7As
_chemical_formula_sum 'Mg28 As4'
_cell_length_a 8.849
_cell_length_b 8.849
_cell_length_c 8.849
_cell_angle_alpha 90.00
_cell_angle_beta 90.00
_cell_angle_gamma 90.00
_symmetry_space_group_name_H-M 'F m -3 m'
_symmetry_Int_Tables_number 225
_symmetry_space_group_name_Hall '-F 4 2 3'
loop_
_atom_site_label
_atom_site_fract_x
_atom_site_fract_y
_atom_site_fract_z
_atom_site_occupancy
Mg1 0.000 0.000 0.000 1
Mg2 0.000 0.250 0.250 1
As1 0.000 0.000 0.500 1

# 8
# MgAs3, optimized geometry, DFT PBE
# Formation energy from the elements   0.55 eV per formula unit
# Fermi-level density of states   8.0 states/eV/cell
data_MgAs3
_chemical_formula_sum 'Mg3 As9'
_cell_length_a 9.1478
_cell_length_b 9.1478
_cell_length_c 3.2414
_cell_angle_alpha 90.00
_cell_angle_beta 90.00
_cell_angle_gamma 120.00
_symmetry_space_group_name_H-M 'R -3 m'
_symmetry_Int_Tables_number 166
_symmetry_space_group_name_Hall '-R 3 2"'
loop_
_atom_site_label
_atom_site_fract_x
_atom_site_fract_y
_atom_site_fract_z
_atom_site_occupancy
Mg1 0.0000 0.0000 0.0000 1
As1 0.0000 0.5000 0.0000 1